1.
Entry from Alexandria: a geometry-optimized Zr2PbW structure (PBE-GGA).

POSCAR file:
```
Zr2PbW
1.0
3.603 0.000 0.000
0.000 3.603 0.000
0.000 0.000 6.496
Zr Pb W
2 1 1
Direct
0.000 0.000 0.000
0.500 0.500 0.258
0.000 0.000 0.529
0.500 0.500 0.778
```

Properties
The space group is P4mm, No. 99. As for the energy relative to the elements: 0.23 eV/atom. Its total magnetization is 0.0 μB/f.u.

2.
Entry from Alexandria: a geometry-optimized CuRh2Br structure (PBE-GGA).

POSCAR file:
```
CuRh2Br
1.0
10.427 0.000 0.000
0.000 2.919 0.000
-1.936 0.000 4.071
Cu Rh Br
2 4 2
Direct
0.000 0.000 0.000
0.500 0.500 0.000
0.242 0.000 0.745
0.496 0.000 0.496
0.742 0.500 0.745
0.996 0.500 0.496
0.270 0.500 0.273
0.770 0.000 0.273
```

Properties
The space group is Cm, No. 8. Its total magnetization is 0.0 μB/f.u. For the energy above the most stable polymorph in this dataset, the calculation gives 18.2 kJ/mol of atoms.

3.
Entry from Alexandria: a geometry-optimized ZnCuI2O8 structure (PBE-GGA).

POSCAR file:
```
ZnCuI2O8
1.0
-3.384 3.384 3.552
3.384 -3.384 3.552
3.384 3.384 -3.552
Zn Cu I O
1 1 2 8
Direct
0.000 0.000 0.000
0.750 0.250 0.500
0.250 0.750 0.500
0.500 0.500 0.000
0.077 0.368 0.290
0.077 0.787 0.710
0.121 0.331 0.789
0.213 0.923 0.290
0.542 0.331 0.211
0.632 0.923 0.710
0.669 0.458 0.789
0.669 0.879 0.211
```

Properties
The space group is I-4m2, No. 119. Its total magnetization is 0.5 μB/f.u. The calculation puts the raw total energy at -4.187 eV/atom.

Question: What is the total magnetization in the first record?
Answer: 0.0 μB/f.u.